Record 1
## TmPdPtAu (PBE-GGA)

Data for a relaxed TmPdPtAu crystal.

a b c (Å): 4.695 4.695 4.695
angles (deg): 60.00 60.00 60.00
Element x y z (fractional)
1 Pd 0.750 0.750 0.750
2 Au 0.500 0.500 0.500
3 Tm 0.000 0.000 0.000
4 Pt 0.250 0.250 0.250

## Properties
- Energy: -22.21 eV/f.u.
- Offset from the most stable computed form: 0.553 eV/f.u.
- E_form: -0.807 eV per atom

Record 2
## TmPd2PtAu (PBE-GGA)

Data for a relaxed TmPd2PtAu crystal.

a b c (Å): 4.314 6.795 6.604
angles (deg): 104.14 90.00 90.00
Element x y z (fractional)
1 Pt 0.250 0.187 0.842
2 Pt 0.750 0.813 0.158
3 Pd 0.750 0.616 0.475
4 Pd 0.250 0.384 0.525
5 Pd 0.250 0.518 0.157
6 Pd 0.750 0.482 0.843
7 Au 0.250 0.877 0.448
8 Au 0.750 0.123 0.552
9 Tm 0.250 0.777 0.856
10 Tm 0.750 0.223 0.144

## Properties
- Energy: -27.29 eV/f.u.
- E_form: -0.623 eV per atom

Record 3
## TmPdPtAu (PBE-GGA)

Data for a relaxed TmPdPtAu crystal.

a b c (Å): 3.986 4.209 4.232
angles (deg): 90.00 90.00 90.00
Element x y z (fractional)
1 Au 0.500 0.500 0.000
2 Pt 0.000 0.000 0.000
3 Pd 0.000 0.500 0.500
4 Tm 0.500 0.000 0.500

## Properties
- Energy: -22.76 eV/f.u.
- Offset from the most stable computed form: 0.000 eV/f.u.
- E_form: -0.945 eV per atom

Record 4
## U2PdPt5Au (PBE-GGA)

Data for a relaxed U2PdPt5Au crystal.

a b c (Å): 7.515 7.515 8.160
angles (deg): 117.42 117.42 90.00
Site moments in Bohr magnetons follow the coordinates.
Element x y z (fractional)
1 U 0.120 0.380 0.000  1.15
2 U 0.880 0.620 0.000  1.15
3 U 0.380 0.880 0.000  1.15
4 U 0.620 0.120 0.000  1.15
5 Pt 0.929 0.429 0.289  -0.01
6 Pt 0.000 0.000 0.000  0.00
7 Pt 0.140 0.071 0.711  -0.01
8 Pt 0.860 0.929 0.289  -0.01
9 Pt 0.571 0.640 0.711  -0.01
10 Pt 0.500 0.500 0.000  0.00
11 Pt 0.640 0.140 0.711  -0.01
12 Pt 0.429 0.360 0.289  -0.01
13 Pt 0.360 0.860 0.289  -0.01
14 Pt 0.071 0.571 0.711  -0.01
15 Au 0.750 0.250 0.500  0.00
16 Au 0.250 0.750 0.500  0.00
17 Pd 0.750 0.750 0.500  -0.01
18 Pd 0.250 0.250 0.500  -0.01

## Properties
- Energy: -62.33 eV/f.u.
- E_form: -0.120 eV per atom